VASP calculation (PBE-GGA) on Na2HfSb2 after structural relaxation.

Computed properties:
* theoretical density: 6.23 g/cm3
* formation energy (no corrections): -0.056 eV per atom
* SG: P4/mbm (127)

POSCAR file:
```
Na2HfSb2
1.0
8.447 0.000 0.000
0.000 8.447 0.000
0.000 0.000 3.498
Na Sb Hf
4 4 2
direct
0.882 0.382 0.500 Na
0.618 0.882 0.500 Na
0.118 0.618 0.500 Na
0.382 0.118 0.500 Na
0.816 0.684 0.000 Sb
0.316 0.816 0.000 Sb
0.684 0.184 0.000 Sb
0.184 0.316 0.000 Sb
0.000 0.000 0.000 Hf
0.500 0.500 0.000 Hf
```

---

VASP calculation (PBE-GGA) on Nd4Sm10Er after structural relaxation.

Computed properties:
* theoretical density: 6.23 g/cm3
* SG: I4/m (87)
* energy of formation: 0.73 eV/atom

POSCAR file:
```
Nd4Sm10Er
1.0
7.145 0.000 3.226
3.572 8.745 1.613
-0.027 0.000 9.583
Sm Nd Er
10 4 1
direct
0.149 0.297 0.900 Sm
0.951 0.900 0.703 Sm
0.654 0.297 0.900 Sm
0.346 0.703 0.100 Sm
0.250 0.500 0.500 Sm
0.750 0.500 0.500 Sm
0.851 0.703 0.100 Sm
0.049 0.100 0.297 Sm
0.446 0.900 0.703 Sm
0.554 0.100 0.297 Sm
0.799 0.600 0.802 Nd
0.201 0.400 0.198 Nd
0.399 0.802 0.400 Nd
0.601 0.198 0.600 Nd
0.000 0.000 0.000 Er
```

---

VASP calculation (PBE-GGA) on KCaIF2 after structural relaxation.

Computed properties:
* theoretical density: 2.97 g/cm3
* formation energy (no corrections): -2.711 eV per atom
* SG: P4/mmm (123)
* energy relative to the lowest polymorph listed for this composition: 0.000 eV/atom

POSCAR file:
```
KCaIF2
1.0
-1.508 -2.366 3.649
3.420 -3.030 -0.551
3.764 3.548 3.856
I F K Ca
1 2 1 1
direct
0.000 0.000 0.500 I
0.000 0.500 0.000 F
0.500 0.000 0.000 F
0.500 0.500 0.500 K
0.000 0.000 0.000 Ca
```

---

VASP calculation (PBE-GGA) on In2FeCl after structural relaxation.

Computed properties:
* theoretical density: 6.38 g/cm3
* formation energy (no corrections): 0.056 eV per atom
* SG: C2/m (12)
* energy relative to the lowest polymorph listed for this composition: 0.144 eV/atom

POSCAR file:
```
In2FeCl
1.0
7.956 -0.001 -0.004
-3.410 3.987 -0.004
1.136 0.999 2.634
In Fe Cl
2 1 1
direct
0.000 0.000 0.000 In
0.500 0.000 0.500 In
0.500 0.500 0.000 Fe
0.000 0.500 0.500 Cl
```

---

VASP calculation (PBE-GGA) on Rb6Li after structural relaxation.

Computed properties:
* theoretical density: 1.35 g/cm3
* SG: Im-3m (229)
* energy of formation: 0.50 eV/atom

POSCAR file:
```
Rb6Li
1.0
-4.582 1.932 -7.971
8.695 -2.930 -2.017
-4.569 -6.742 4.683
Rb Li
6 1
direct
0.750 0.500 0.250 Rb
0.750 0.250 0.500 Rb
0.250 0.750 0.500 Rb
0.250 0.500 0.750 Rb
0.500 0.750 0.250 Rb
0.500 0.250 0.750 Rb
0.000 0.000 0.000 Li
```

---

VASP calculation (PBE-GGA) on PrDy after structural relaxation.

Computed properties:
* theoretical density: 7.46 g/cm3
* SG: Pmmn (59)
* energy relative to the lowest polymorph listed for this composition: 0.006 eV/atom
* energy of formation: 0.02 eV/atom

POSCAR file:
```
PrDy
1.0
-2.570 1.408 -2.147
-4.814 -0.569 5.388
1.240 4.712 1.605
Pr Dy
2 2
direct
0.250 0.629 0.250 Pr
0.750 0.371 0.750 Pr
0.750 0.879 0.750 Dy
0.250 0.121 0.250 Dy
```

---

VASP calculation (PBE-GGA) on Sr2CdBr after structural relaxation.

Computed properties:
* theoretical density: 3.95 g/cm3
* formation energy (no corrections): -0.695 eV per atom
* SG: Immm (71)
* energy relative to the lowest polymorph listed for this composition: 0.179 eV/atom

POSCAR file:
```
Sr2CdBr
1.0
6.484 0.004 0.007
1.215 6.369 -0.007
-2.732 -4.537 3.741
Sr Cd Br
2 1 1
direct
0.526 0.526 0.000 Sr
0.974 0.974 0.000 Sr
0.250 0.750 0.500 Cd
0.750 0.250 0.500 Br
```

---

VASP calculation (PBE-GGA) on NaTiIn after structural relaxation.

Computed properties:
* theoretical density: 4.97 g/cm3
* SG: Cmcm (63)
* energy relative to the lowest polymorph listed for this composition: 0.507 eV/atom
* energy of formation: 0.46 eV/atom

POSCAR file:
```
NaTiIn
1.0
-0.580 7.984 2.509
-1.926 1.606 -5.557
-4.590 -0.764 1.370
Na In Ti
4 4 4
direct
0.334 0.750 0.000 Na
0.166 0.250 0.500 Na
0.834 0.750 0.500 Na
0.666 0.250 0.000 Na
0.000 0.500 0.000 In
0.000 0.000 0.000 In
0.500 0.500 0.500 In
0.500 0.000 0.500 In
0.832 0.250 0.500 Ti
0.668 0.750 0.000 Ti
0.168 0.750 0.500 Ti
0.332 0.250 0.000 Ti
```

---

VASP calculation (PBE-GGA) on BaSiTcO6 after structural relaxation.

Computed properties:
* theoretical density: 4.67 g/cm3
* formation energy (no corrections): -2.165 eV per atom
* SG: P312 (149)

POSCAR file:
```
BaSiTcO6
1.0
5.062 0.000 0.000
2.531 4.384 0.000
0.000 0.000 5.755
O Si Tc Ba
6 1 1 1
direct
0.018 0.395 0.315 O
0.587 0.395 0.685 O
0.587 0.018 0.315 O
0.395 0.587 0.315 O
0.395 0.018 0.685 O
0.018 0.587 0.685 O
0.333 0.333 0.500 Si
0.667 0.667 0.500 Tc
0.000 0.000 0.000 Ba
```

---

VASP calculation (PBE-GGA) on KCu3Si after structural relaxation.

Computed properties:
* theoretical density: 3.55 g/cm3
* formation energy (no corrections): 1.877 eV per atom
* SG: Pm-3m (221)
* energy relative to the lowest polymorph listed for this composition: 1.685 eV/atom

POSCAR file:
```
KCu3Si
1.0
-4.020 1.160 -2.630
-2.813 -0.659 4.009
0.590 4.758 1.196
K Cu Si
1 3 1
direct
0.000 0.000 0.000 K
0.000 0.500 0.000 Cu
0.500 0.000 0.000 Cu
0.000 0.000 0.500 Cu
0.500 0.500 0.500 Si
```

---

VASP calculation (PBE-GGA) on LiTa4Tl after structural relaxation.

Computed properties:
* theoretical density: 12.80 g/cm3
* SG: F-43m (216)
* energy of formation: 0.61 eV/atom

POSCAR file:
```
LiTa4Tl
1.0
0.000 3.929 3.929
3.929 0.000 3.929
3.929 3.929 0.000
Ta Li Tl
4 1 1
direct
0.879 0.374 0.374 Ta
0.374 0.374 0.879 Ta
0.374 0.879 0.374 Ta
0.374 0.374 0.374 Ta
0.000 0.000 0.000 Li
0.750 0.750 0.750 Tl
```

---

VASP calculation (PBE-GGA) on Cs3ZnCd4 after structural relaxation.

Computed properties:
* theoretical density: 4.29 g/cm3
* SG: Pmmn (59)
* energy of formation: 0.01 eV/atom

POSCAR file:
```
Cs3ZnCd4
1.0
-6.491 1.706 -2.473
0.789 -4.340 -5.064
-5.944 -10.686 8.231
Cd Cs Zn
8 6 2
direct
0.675 0.000 0.607 Cd
0.005 0.748 0.000 Cd
0.675 0.000 0.393 Cd
0.325 0.500 0.893 Cd
0.995 0.248 0.500 Cd
0.005 0.252 0.000 Cd
0.325 0.500 0.107 Cd
0.995 0.752 0.500 Cd
0.483 0.500 0.500 Cs
0.802 0.500 0.245 Cs
0.517 0.000 0.000 Cs
0.198 0.000 0.255 Cs
0.198 0.000 0.745 Cs
0.802 0.500 0.755 Cs
0.672 0.500 0.000 Zn
0.328 0.000 0.500 Zn
```

---

VASP calculation (PBE-GGA) on KHfCd2As after structural relaxation.

Computed properties:
* theoretical density: 5.07 g/cm3
* SG: P4/mmm (123)
* energy of formation: 0.03 eV/atom

POSCAR file:
```
KHfCd2As
1.0
5.741 0.000 0.000
0.000 5.139 0.000
0.000 0.000 5.741
Cd K As Hf
2 1 1 1
direct
0.000 0.000 0.500 Cd
0.500 0.000 0.000 Cd
0.500 0.500 0.500 K
0.000 0.500 0.000 As
0.000 0.000 0.000 Hf
```

---

VASP calculation (PBE-GGA) on ZrTa2AlSi after structural relaxation.

Computed properties:
* theoretical density: 8.39 g/cm3
* formation energy (no corrections): 0.498 eV per atom
* SG: P4/mmm (123)

POSCAR file:
```
ZrTa2AlSi
1.0
4.707 0.000 0.000
0.000 4.540 0.000
0.000 0.000 4.707
Al Ta Zr Si
1 2 1 1
direct
0.000 0.500 0.000 Al
0.000 0.000 0.500 Ta
0.500 0.000 0.000 Ta
0.500 0.500 0.500 Zr
0.000 0.000 0.000 Si
```

---

VASP calculation (PBE-GGA) on HfPa3Bi4 after structural relaxation.

Computed properties:
* theoretical density: 12.30 g/cm3
* SG: Pmmn (59)
* energy of formation: 0.13 eV/atom

POSCAR file:
```
HfPa3Bi4
1.0
-3.349 -3.718 -2.844
10.016 -5.827 -4.176
-0.096 -3.897 5.207
Bi Hf Pa
8 2 6
direct
0.564 0.564 0.251 Bi
0.064 0.436 0.751 Bi
0.064 0.436 0.249 Bi
0.565 0.054 0.500 Bi
0.564 0.564 0.749 Bi
0.065 0.946 0.000 Bi
0.065 0.936 0.500 Bi
0.565 0.064 0.000 Bi
0.064 0.221 0.000 Hf
0.564 0.779 0.500 Hf
0.564 0.284 0.252 Pa
0.564 0.788 0.000 Pa
0.064 0.716 0.248 Pa
0.064 0.212 0.500 Pa
0.064 0.716 0.752 Pa
0.564 0.284 0.748 Pa
```

---

VASP calculation (PBE-GGA) on Li2TcGeB after structural relaxation.

Computed properties:
* theoretical density: 3.80 g/cm3
* SG: P4/mmm (123)
* energy of formation: 1.27 eV/atom

POSCAR file:
```
Li2TcGeB
1.0
-2.277 -3.582 -0.381
3.967 -2.515 -0.060
-0.158 -0.351 4.244
Tc Li B Ge
1 2 1 1
direct
0.000 0.500 0.000 Tc
0.500 0.000 0.000 Li
0.000 0.000 0.500 Li
0.500 0.500 0.500 B
0.000 0.000 0.000 Ge
```

---

VASP calculation (PBE-GGA) on TlTcCl2 after structural relaxation.

Computed properties:
* theoretical density: 5.96 g/cm3
* formation energy (no corrections): 0.122 eV per atom
* SG: Pmm2 (25)
* energy relative to the lowest polymorph listed for this composition: 0.285 eV/atom

POSCAR file:
```
TlTcCl2
1.0
-3.242 -0.394 0.880
-0.886 -1.103 -3.759
1.382 -7.308 1.818
Cl Tl Tc
2 1 1
direct
0.000 0.000 0.020 Cl
0.500 0.500 0.358 Cl
0.500 0.500 0.775 Tl
0.000 0.000 0.347 Tc
```

---

VASP calculation (PBE-GGA) on LiBe2Pt after structural relaxation.

Computed properties:
* theoretical density: 7.42 g/cm3
* SG: R3m (160)
* energy of formation: -0.02 eV/atom

POSCAR file:
```
LiBe2Pt
1.0
-5.862 4.131 -3.805
-6.630 1.639 -4.389
-7.352 2.751 -2.069
Be Pt Li
2 1 1
direct
0.998 0.998 0.998 Be
0.259 0.259 0.259 Be
0.743 0.743 0.743 Pt
0.501 0.501 0.501 Li
```

---

VASP calculation (PBE-GGA) on BaHf2HgRu after structural relaxation.

Computed properties:
* theoretical density: 9.52 g/cm3
* SG: P4/mmm (123)
* energy of formation: 0.15 eV/atom

POSCAR file:
```
BaHf2HgRu
1.0
5.005 0.000 0.000
0.000 5.541 0.000
0.000 0.000 5.005
Ba Ru Hf Hg
1 1 2 1
direct
0.500 0.500 0.500 Ba
0.000 0.000 0.000 Ru
0.000 0.000 0.500 Hf
0.500 0.000 0.000 Hf
0.000 0.500 0.000 Hg
```

---

VASP calculation (PBE-GGA) on TlSeBr2F after structural relaxation.

Computed properties:
* theoretical density: 4.36 g/cm3
* formation energy (no corrections): 0.149 eV per atom
* SG: P4/mmm (123)
* energy relative to the lowest polymorph listed for this composition: 0.433 eV/atom

POSCAR file:
```
TlSeBr2F
1.0
-4.732 -0.934 2.628
2.698 -2.842 3.848
0.749 4.889 3.085
Se Tl F Br
1 1 1 2
direct
0.000 0.000 0.500 Se
0.000 0.000 0.000 Tl
0.500 0.500 0.500 F
0.500 0.000 0.000 Br
0.000 0.500 0.000 Br
```

---

VASP calculation (PBE-GGA) on Dy3CuSe6 after structural relaxation.

Computed properties:
* theoretical density: 7.28 g/cm3
* formation energy (no corrections): -1.437 eV per atom
* SG: Pca2_1 (29)
* energy relative to the lowest polymorph listed for this composition: 0.000 eV/atom

POSCAR file:
```
Dy3CuSe6
1.0
-1.537 -6.758 1.641
2.880 -2.309 -6.811
15.289 -1.762 7.063
Se Dy Cu
24 12 4
direct
0.927 0.750 0.823 Se
0.617 0.402 0.751 Se
0.383 0.598 0.251 Se
0.067 0.251 0.001 Se
0.617 0.093 0.580 Se
0.073 0.250 0.823 Se
0.617 0.098 0.251 Se
0.927 0.750 0.323 Se
0.383 0.902 0.751 Se
0.383 0.907 0.080 Se
0.387 0.910 0.416 Se
0.067 0.249 0.501 Se
0.928 0.752 0.174 Se
0.383 0.593 0.580 Se
0.933 0.751 0.001 Se
0.613 0.410 0.416 Se
0.387 0.590 0.916 Se
0.072 0.252 0.174 Se
0.073 0.250 0.323 Se
0.613 0.090 0.916 Se
0.933 0.749 0.501 Se
0.617 0.407 0.080 Se
0.072 0.248 0.674 Se
0.928 0.748 0.674 Se
0.771 0.055 0.412 Dy
0.246 0.560 0.091 Dy
0.738 0.059 0.747 Dy
0.738 0.441 0.247 Dy
0.262 0.559 0.747 Dy
0.229 0.945 0.912 Dy
0.754 0.060 0.091 Dy
0.246 0.940 0.591 Dy
0.771 0.445 0.912 Dy
0.229 0.555 0.412 Dy
0.262 0.941 0.247 Dy
0.754 0.440 0.591 Dy
0.601 0.709 0.477 Cu
0.399 0.291 0.977 Cu
0.601 0.791 0.977 Cu
0.399 0.209 0.477 Cu
```

---

VASP calculation (PBE-GGA) on LaThIrSe after structural relaxation.

Computed properties:
* theoretical density: 9.52 g/cm3
* formation energy (no corrections): -1.299 eV per atom
* SG: R3m (160)

POSCAR file:
```
LaThIrSe
1.0
-3.598 0.311 2.011
3.308 -1.575 1.914
3.220 7.241 0.393
Th La Se Ir
1 1 1 1
direct
0.112 0.954 0.082 Th
0.491 0.143 0.650 La
0.963 0.379 0.357 Se
0.312 0.554 0.881 Ir
```

---

VASP calculation (PBE-GGA) on BeRe2Mo after structural relaxation.

Computed properties:
* theoretical density: 13.70 g/cm3
* SG: I-42d (122)
* energy of formation: 0.61 eV/atom

POSCAR file:
```
BeRe2Mo
1.0
7.104 0.000 0.000
0.000 7.104 0.000
3.552 3.552 2.294
Be Re Mo
2 4 2
direct
0.250 0.750 0.500 Be
0.500 0.500 0.000 Be
0.540 0.125 0.250 Re
0.875 0.790 0.750 Re
0.210 0.625 0.250 Re
0.375 0.460 0.750 Re
0.000 0.000 0.000 Mo
0.750 0.250 0.500 Mo
```

---

VASP calculation (PBE-GGA) on CsTbAgCl6 after structural relaxation.

Computed properties:
* theoretical density: 3.10 g/cm3
* formation energy (no corrections): -1.589 eV per atom
* SG: P1 (1)

POSCAR file:
```
CsTbAgCl6
1.0
-1.692 5.286 -3.975
-3.904 -0.839 -6.091
-6.263 0.997 4.530
Cl Cs Tb Ag
6 1 1 1
direct
0.384 0.636 0.270 Cl
0.392 0.976 0.733 Cl
0.631 0.371 0.669 Cl
0.016 0.608 0.695 Cl
0.628 0.999 0.330 Cl
0.012 0.377 0.305 Cl
0.963 0.018 0.999 Cs
0.642 0.680 0.500 Tb
0.331 0.334 0.499 Ag
```

---

Number 1: total magnetic moment 0.000 μB per formula unit. Number 2: total magnetic moment 0.000 μB per formula unit. Number 3: total magnetic moment 0.000 μB per formula unit. Number 4: total magnetic moment 2.646 μB per formula unit. Number 5: total magnetic moment 0.002 μB per formula unit. Number 6: total magnetic moment 0.000 μB per formula unit. Number 7: total magnetic moment 0.000 μB per formula unit. Number 8: total magnetic moment 0.000 μB per formula unit. Number 9: total magnetic moment 1.004 μB per formula unit. Number 10: total magnetic moment 0.000 μB per formula unit. Number 11: total magnetic moment 0.000 μB per formula unit. Number 12: total magnetic moment 0.000 μB per formula unit. Number 13: total magnetic moment 0.000 μB per formula unit. Number 14: total magnetic moment 0.000 μB per formula unit. Number 15: total magnetic moment 1.251 μB per formula unit. Number 16: total magnetic moment 1.279 μB per formula unit. Number 17: total magnetic moment 3.617 μB per formula unit. Number 18: total magnetic moment 0.000 μB per formula unit. Number 19: total magnetic moment 0.003 μB per formula unit. Number 20: total magnetic moment 1.503 μB per formula unit. Number 21: total magnetic moment 0.000 μB per formula unit. Number 22: total magnetic moment 0.000 μB per formula unit. Number 23: total magnetic moment 0.000 μB per formula unit. Number 24: total magnetic moment 1.061 μB per formula unit.